# LiTl2Cd

Crystalline LiTl2Cd at its relaxed geometry (PBEsol, Alexandria).

Cell and atoms, written as POSCAR:
```
LiTl2Cd
1.0
3.358 0.000 0.000
1.679 2.908 0.000
1.679 0.969 9.438
Cd Li Tl
1 1 2
direct
0.500 0.500 0.500 Cd
0.000 0.000 0.000 Li
0.746 0.746 0.764 Tl
0.254 0.254 0.236 Tl
```

Properties
- Calculated volume: 92.2 Å³/cell
- Calculated total energy: -8.71 eV/f.u.